HoFe2SbO6 | the Alexandria database | PBE with a Hubbard U | optimized geometry; DOS at the Fermi energy = 0.000 states/eV/atom; calculated total energy = -6.93 eV/atom
1.0
5.505 0.000 -0.002
0.000 5.570 0.000
0.046 0.000 7.933
O Sb Fe Ho
12 2 4 2
Cartesian
3.619 1.700 4.681 O
0.844 1.085 0.716 O
1.932 3.870 3.249 O
4.527 4.699 4.320 O
0.720 2.219 6.093 O
2.102 5.004 5.805 O
3.800 1.914 7.575 O
3.449 0.566 2.126 O
4.832 3.351 1.837 O
4.708 4.485 7.215 O
1.025 0.871 3.610 O
1.751 3.657 0.355 O
0.000 2.785 0.000 Sb
2.776 0.000 3.965 Sb
2.732 2.956 6.110 Fe
2.819 2.614 1.821 Fe
0.090 0.171 5.788 Fe
5.461 5.399 2.142 Fe
0.023 2.785 3.966 Ho
2.753 0.000 -0.001 Ho